VASP calculation (GGA-PBE) on an optimized crystal structure of CsTl3N.

Values from the calculation:
D(E_F) = 8.61 states/eV per cell
distance to the lowest polymorph of the same formula = 6.66 eV per formula unit
symmetry = Pm-3m

Cell lengths 6.6793, 6.6793, 6.6793 Å; angles 90.00, 90.00, 90.00 degrees
Last column: nearest neighbours and their distance in Å.
Fractional coordinates of all 5 atoms:
Cs (0.0000, 0.0000, 0.0000)  6 Tl 3.34
Tl (0.0000, 0.0000, 0.5000)  2 Cs 3.34
Tl (0.0000, 0.5000, 0.0000)  2 Cs 3.34
Tl (0.5000, 0.0000, 0.0000)  2 Cs 3.34
N (0.5000, 0.5000, 0.5000)  12 Tl 4.72


VASP calculation (GGA-PBE) on an optimized crystal structure of CsTl3N.

Values from the calculation:
D(E_F) = 3.56 states/eV per cell
distance to the lowest polymorph of the same formula = 0.00 eV per formula unit
symmetry = Pm-3m

Cell lengths 5.5045, 5.5045, 5.5045 Å; angles 90.00, 90.00, 90.00 degrees
Last column: nearest neighbours and their distance in Å.
Fractional coordinates of all 5 atoms:
Cs (0.0000, 0.0000, 0.0000)  12 Tl 3.89
Tl (0.0000, 0.5000, 0.5000)  2 N 2.75
Tl (0.5000, 0.0000, 0.5000)  2 N 2.75
Tl (0.5000, 0.5000, 0.0000)  2 N 2.75
N (0.5000, 0.5000, 0.5000)  6 Tl 2.75


VASP calculation (GGA-PBE) on an optimized crystal structure of CsTlN3.

Values from the calculation:
D(E_F) = 2.86 states/eV per cell
symmetry = Pm-3m

Cell lengths 4.6262, 4.6262, 4.6262 Å; angles 90.00, 90.00, 90.00 degrees
Last column: nearest neighbours and their distance in Å.
Fractional coordinates of all 5 atoms:
Cs (0.0000, 0.0000, 0.0000)  6 N 2.31
Tl (0.5000, 0.5000, 0.5000)  12 N 3.27
N (0.0000, 0.0000, 0.5000)  2 Cs 2.31
N (0.0000, 0.5000, 0.0000)  2 Cs 2.31
N (0.5000, 0.0000, 0.0000)  2 Cs 2.31


VASP calculation (GGA-PBE) on an optimized crystal structure of CsU4TlN8.

Values from the calculation:
D(E_F) = 11.04 states/eV per cell
symmetry = R3m

Cell lengths 8.5811, 8.5811, 8.5811 Å; angles 48.22, 48.22, 48.22 degrees
Last column: nearest neighbours and their distance in Å.
Fractional coordinates of all 14 atoms:
Cs (0.0000, 0.0000, 0.0000)  4 N 3.18-3.34
U (0.1544, 0.6535, 0.6535)  6 N 2.20-2.25
U (0.1686, 0.1686, 0.1686)  6 N 2.22-2.26
U (0.6535, 0.1544, 0.6535)  6 N 2.20-2.25
U (0.6535, 0.6535, 0.1544)  6 N 2.20-2.25
Tl (0.6169, 0.6169, 0.6169)  3 N 2.67
N (0.3774, 0.3774, 0.8506)  3 U 2.25-2.26
N (0.3774, 0.8506, 0.3774)  3 U 2.25-2.26
N (0.4379, 0.9611, 0.9611)  3 U 2.21-2.22
N (0.4486, 0.4486, 0.4486)  3 U 2.20
N (0.8506, 0.3774, 0.3774)  3 U 2.25-2.26
N (0.8601, 0.8601, 0.8601)  3 U 2.22
N (0.9611, 0.4379, 0.9611)  3 U 2.21-2.22
N (0.9611, 0.9611, 0.4379)  3 U 2.21-2.22


VASP calculation (GGA-PBE) on an optimized crystal structure of CsUVN4.

Values from the calculation:
symmetry = P2_1/m

Cell lengths 5.7860, 5.7011, 8.1814 Å; angles 90.00, 92.39, 90.00 degrees
Last column: nearest neighbours and their distance in Å.
Fractional coordinates of all 14 atoms:
Cs (0.2358, 0.2500, 0.1050)  5 N 3.02-3.24
Cs (0.7642, 0.7500, 0.8950)  5 N 3.02-3.24
U (0.2014, 0.7500, 0.4628)  4 N 2.07-2.21
U (0.7986, 0.2500, 0.5372)  4 N 2.07-2.21
V (0.3143, 0.2500, 0.6476)  4 N 1.76-1.84
V (0.6857, 0.7500, 0.3524)  4 N 1.76-1.84
N (0.1050, 0.0106, 0.6486)  1 V 1.82
N (0.1050, 0.4894, 0.6486)  1 V 1.82
N (0.3933, 0.7500, 0.2547)  1 V 1.84
N (0.4319, 0.2500, 0.4532)  1 V 1.76
N (0.5681, 0.7500, 0.5468)  1 V 1.76
N (0.6067, 0.2500, 0.7453)  1 V 1.84
N (0.8950, 0.5106, 0.3514)  1 V 1.82
N (0.8950, 0.9894, 0.3514)  1 V 1.82


VASP calculation (GGA-PBE) on an optimized crystal structure of CsUZnN3.

Values from the calculation:
symmetry = P2_1/m

Cell lengths 8.3594, 3.6056, 8.4507 Å; angles 90.00, 112.88, 90.00 degrees
Last column: nearest neighbours and their distance in Å.
Fractional coordinates of all 12 atoms:
Cs (0.2310, 0.2500, 0.2587)  5 N 3.13-3.40
Cs (0.7690, 0.7500, 0.7413)  5 N 3.13-3.40
U (0.3552, 0.2500, 0.8249)  6 N 2.17-2.29
U (0.6448, 0.7500, 0.1751)  6 N 2.17-2.29
Zn (0.1146, 0.7500, 0.5670)  4 N 2.00-2.11
Zn (0.8854, 0.2500, 0.4330)  4 N 2.00-2.11
N (0.0769, 0.2500, 0.6776)  3 Zn 2.06-2.11, 1 U 2.17
N (0.3744, 0.7500, 0.6805)  1 Zn 2.00, 2 U 2.22
N (0.3740, 0.7500, 0.9980)  3 U 2.17-2.29
N (0.6260, 0.2500, 0.0020)  3 U 2.17-2.29
N (0.6256, 0.2500, 0.3195)  1 Zn 2.00, 2 U 2.22
N (0.9231, 0.7500, 0.3224)  3 Zn 2.06-2.11, 1 U 2.17


VASP calculation (GGA-PBE) on an optimized crystal structure of CsU2ZnN5.

Values from the calculation:
D(E_F) = 0.27 states/eV per cell
symmetry = I4/mcm

Cell lengths 7.6197, 7.6197, 7.6197 Å; angles 128.60, 128.60, 75.66 degrees
Last column: nearest neighbours and their distance in Å.
Fractional coordinates of all 18 atoms:
Cs (0.2500, 0.2500, 0.0000)  10 N 3.01-3.05, 4 Zn 3.30
Cs (0.7500, 0.7500, 0.0000)  10 N 3.01-3.05, 4 Zn 3.30
U (0.1853, 0.6853, 0.8707)  2 N 2.11
U (0.3147, 0.1853, 0.5000)  2 N 2.11
U (0.6853, 0.8147, 0.5000)  2 N 2.11
U (0.8147, 0.3147, 0.1293)  2 N 2.11
Zn (0.2500, 0.7500, 0.5000)  4 N 2.12
Zn (0.7500, 0.2500, 0.5000)  4 N 2.12
N (0.0000, 0.0000, 0.0000)  4 U 2.41
N (0.0284, 0.2493, 0.5000)  1 U 2.11, 1 Zn 2.12
N (0.2493, 0.7493, 0.2210)  1 U 2.11, 1 Zn 2.12
N (0.2507, 0.4716, 0.5000)  1 U 2.11, 1 Zn 2.12
N (0.4716, 0.9716, 0.2210)  1 U 2.11, 1 Zn 2.12
N (0.5000, 0.5000, 0.0000)  4 U 2.41
N (0.5284, 0.0284, 0.7790)  1 U 2.11, 1 Zn 2.12
N (0.7493, 0.5284, 0.5000)  1 U 2.11, 1 Zn 2.12
N (0.7507, 0.2507, 0.7790)  1 U 2.11, 1 Zn 2.12
N (0.9716, 0.7507, 0.5000)  1 U 2.11, 1 Zn 2.12


VASP calculation (GGA-PBE) on an optimized crystal structure of CsVN.

Values from the calculation:
D(E_F) = 4.89 states/eV per cell
distance to the lowest polymorph of the same formula = 0.00 eV per formula unit
symmetry = P2_1/m

Cell lengths 3.4988, 3.8473, 11.8240 Å; angles 90.00, 90.53, 90.00 degrees
Last column: nearest neighbours and their distance in Å.
Fractional coordinates of all 6 atoms:
Cs (0.2413, 0.2500, 0.2202)  2 N 3.14, 2 Cs 3.50
Cs (0.7587, 0.7500, 0.7798)  2 N 3.14, 2 Cs 3.50
V (0.2507, 0.2500, 0.5232)  4 N 1.97-2.00
V (0.7493, 0.7500, 0.4768)  4 N 1.97-2.00
N (0.2518, 0.7500, 0.5590)  4 V 1.97-2.00
N (0.7482, 0.2500, 0.4410)  4 V 1.97-2.00


Number 1: magnetic moment 0.00 μB per formula unit, raw formation energy 1.9757 eV per atom. Number 2: magnetic moment 1.06 μB per formula unit, raw formation energy 0.6438 eV per atom. Number 3: magnetic moment 3.17 μB per formula unit, raw formation energy 2.7518 eV per atom. Number 4: magnetic moment 2.15 μB per formula unit, raw formation energy -1.0100 eV per atom. Number 5: magnetic moment 0.00 μB per formula unit, raw formation energy -0.8157 eV per atom. Number 6: magnetic moment 0.00 μB per formula unit, raw formation energy -0.6515 eV per atom. Number 7: magnetic moment 0.00 μB per formula unit, raw formation energy -0.5529 eV per atom. Number 8: magnetic moment 0.00 μB per formula unit, raw formation energy -0.4424 eV per atom.